Entry 1:
# La3In

A crystal of La3In relaxed with PBEsol (meta-GGA SCAN, Alexandria via LeMat-Bulk).

Values from the calculation:
Fermi-level density of states ... 3.6 states/eV per cell
Energy relative to the lowest polymorph listed for this composition ... 0.093 eV per atom
Calculated total energy ... -164.00 eV per cell

Unit cell a=3.6063 b=5.6426 c=5.9861 alpha=90.00 beta=90.00 gamma=90.00
Closest atoms and distances in Å follow each position.
Space group Pmm2 (No. 25)
Inequivalent atoms, fractional coordinates:
La1 0.0000 0.0000 0.0000 [1 per cell]  4 In 3.43-3.56, 8 La 3.47-3.72
La2 0.0000 0.5000 0.4043 [1 per cell]  2 La 3.21, 4 In 3.41
La3 0.5000 0.5000 0.8488 [1 per cell]  6 La 3.21-3.47, 2 In 3.47
In1 0.5000 0.0000 0.5124 [1 per cell]  10 La 3.41-3.56, 2 In 3.61

Entry 2:
# Ba2LiCl

A crystal of Ba2LiCl relaxed with PBEsol (meta-GGA SCAN, Alexandria via LeMat-Bulk).

Values from the calculation:
Fermi-level density of states ... 13.4 states/eV per cell
Formation energy (no corrections) ... -2.68 eV per formula unit
Energy relative to the lowest polymorph listed for this composition ... 0.242 eV per atom
Calculated total energy ... -368.60 eV per cell

Unit cell a=8.3411 b=8.3411 c=8.3411 alpha=90.00 beta=90.00 gamma=90.00
Closest atoms and distances in Å follow each position.
Space group Fm-3m (No. 225)
Inequivalent atoms, fractional coordinates:
Ba1 0.2500 0.2500 0.2500 [8 per cell]  4 Cl 3.61, 4 Li 3.61
Li1 0.0000 0.0000 0.0000 [4 per cell]  8 Ba 3.61
Cl1 0.0000 0.0000 0.5000 [4 per cell]  8 Ba 3.61

Entry 3:
# AlCuOF2

A crystal of AlCuOF2 relaxed with PBEsol (meta-GGA SCAN, Alexandria via LeMat-Bulk).

Values from the calculation:
Fermi-level density of states ... 3.3 states/eV per cell
Formation energy (no corrections) ... -5.27 eV per formula unit
Calculated total energy ... -41.53 eV per cell

Unit cell a=3.8603 b=3.8603 c=3.8608 alpha=90.00 beta=90.00 gamma=90.00
Closest atoms and distances in Å follow each position.
Space group P4/mmm (No. 123)
Inequivalent atoms, fractional coordinates:
Al1 0.0000 0.0000 0.0000 [1 per cell]  4 O 2.73, 8 F 2.73
Cu1 0.5000 0.5000 0.5000 [1 per cell]  4 F 1.93, 2 O 1.93
O1 0.5000 0.5000 0.0000 [1 per cell]  2 Cu 1.93
F1 0.0000 0.5000 0.5000 [2 per cell]  2 Cu 1.93

Total moment values, unit μB/atom, following the record order: 0.00 0.42 0.00.